# Sr2ScSi

A PBEsol-optimized structure of Sr2ScSi (meta-GGA SCAN, Alexandria).

Lattice parameters (Å, degrees): 3.737 4.542 6.759 90.00 90.00 90.00
Space group Pmmm (No. 47)
Inequivalent atoms, fractional coordinates:
Sr 0.000 0.000 0.226 [2 per cell]
Sc 0.500 0.500 0.500 [1 per cell]
Si 0.500 0.500 0.000 [1 per cell]

Raw total energy in eV per atom: -17.084
Density of states at the Fermi level in states/eV/cell: 2.49
Crystal system: orthorhombic